(1)
! NdSc4Ag, optimized geometry, DFT PBE-GGA; values from VASP
&SYSTEM
  ibrav = 0, nat = 12, ntyp = 3
/
ATOMIC_SPECIES
Nd 144.24 Nd.upf
Sc 44.96 Sc.upf
Ag 107.87 Ag.upf
ATOMIC_POSITIONS angstrom
Nd 0.000 1.633 1.219
Nd 2.627 4.660 8.429
Sc 2.627 5.378 4.730
Sc 0.000 0.579 8.816
Sc 0.000 4.622 2.731
Sc 2.627 3.605 0.832
Sc 2.627 2.440 3.593
Ag 2.627 0.079 1.948
Sc 0.000 5.466 6.055
Sc 0.000 2.351 4.918
Sc 2.627 1.595 6.917
Ag 0.000 3.105 7.700
CELL_PARAMETERS angstrom
5.254 0.000 0.000
0.000 6.053 0.000
-2.627 0.000 9.648
! total magnetization: 0.0 μB/f.u.
! formation enthalpy at 0 K: 64 meV/atom

=====

(2)
! NdSc2Ag, optimized geometry, DFT PBE-GGA; values from VASP
&SYSTEM
  ibrav = 0, nat = 4, ntyp = 3
/
ATOMIC_SPECIES
Ag 107.87 Ag.upf
Sc 44.96 Sc.upf
Nd 144.24 Nd.upf
ATOMIC_POSITIONS angstrom
Ag -1.205 0.237 2.153
Sc 5.315 -1.759 3.168
Sc 1.356 -0.449 0.808
Nd 2.130 -0.867 4.141
CELL_PARAMETERS angstrom
-0.499 2.609 2.286
-1.910 -2.135 2.019
6.671 -2.208 3.977
! total magnetization: 0.0 μB/f.u.
! formation enthalpy at 0 K: -89 meV/atom
! distance to the lowest polymorph of the same formula: 0 meV per atom

=====

(3)
! NdSc5Ag4, optimized geometry, DFT PBE-GGA; values from VASP
&SYSTEM
  ibrav = 0, nat = 10, ntyp = 3
/
ATOMIC_SPECIES
Sc 44.96 Sc.upf
Ag 107.87 Ag.upf
Nd 144.24 Nd.upf
ATOMIC_POSITIONS angstrom
Sc 1.709 1.709 16.395
Ag 0.000 0.000 14.678
Nd 0.000 0.000 0.000
Ag 0.000 0.000 7.714
Sc 1.709 1.709 9.445
Sc 1.709 1.709 12.937
Ag 0.000 0.000 11.176
Ag 0.000 0.000 4.211
Sc 1.709 1.709 2.495
Sc 1.709 1.709 5.952
CELL_PARAMETERS angstrom
3.418 0.000 0.000
0.000 3.418 0.000
0.000 0.000 18.890
! total magnetization: 0.0 μB/f.u.
! formation enthalpy at 0 K: -200 meV/atom

=====

(4)
! NdScAg4, optimized geometry, DFT PBE-GGA; values from VASP
&SYSTEM
  ibrav = 0, nat = 6, ntyp = 3
/
ATOMIC_SPECIES
Nd 144.24 Nd.upf
Ag 107.87 Ag.upf
Sc 44.96 Sc.upf
ATOMIC_POSITIONS angstrom
Nd 0.000 0.000 0.000
Ag -2.640 -6.168 4.439
Ag -5.215 -4.796 3.860
Ag -2.599 -1.327 1.218
Ag -0.024 -2.699 1.796
Sc -2.619 -3.748 2.828
CELL_PARAMETERS angstrom
-2.307 1.601 2.375
-2.864 -1.261 -1.932
-0.068 -7.835 5.214
! total magnetization: 0.0 μB/f.u.
! formation enthalpy at 0 K: -247 meV/atom
! distance to the lowest polymorph of the same formula: 0 meV per atom

=====

(5)
! NdScAg, optimized geometry, DFT PBE-GGA; values from VASP
&SYSTEM
  ibrav = 0, nat = 3, ntyp = 3
/
ATOMIC_SPECIES
Nd 144.24 Nd.upf
Ag 107.87 Ag.upf
Sc 44.96 Sc.upf
ATOMIC_POSITIONS angstrom
Nd 0.000 0.000 0.084
Ag 1.760 1.760 2.301
Sc 0.000 0.000 3.817
CELL_PARAMETERS angstrom
3.521 0.000 0.000
0.000 3.521 0.000
-1.760 -1.760 6.202
! total magnetization: 0.0 μB/f.u.
! formation enthalpy at 0 K: -135 meV/atom
! distance to the lowest polymorph of the same formula: 18 meV per atom

=====

(6)
! NdSc2Ag2, optimized geometry, DFT PBE-GGA; values from VASP
&SYSTEM
  ibrav = 0, nat = 5, ntyp = 3
/
ATOMIC_SPECIES
Ag 107.87 Ag.upf
Sc 44.96 Sc.upf
Nd 144.24 Nd.upf
ATOMIC_POSITIONS angstrom
Ag 0.784 -2.686 1.722
Sc 3.175 -2.284 3.294
Ag 2.416 -4.487 7.101
Sc 1.640 -1.916 6.034
Nd 0.000 0.000 0.000
CELL_PARAMETERS angstrom
-1.615 -2.972 -0.505
3.131 -1.646 -0.328
1.684 -2.555 9.656
! total magnetization: 0.6 μB/f.u.
! formation enthalpy at 0 K: -66 meV/atom

=====

(7)
! Nd2ScAg3, optimized geometry, DFT PBE-GGA; values from VASP
&SYSTEM
  ibrav = 0, nat = 6, ntyp = 3
/
ATOMIC_SPECIES
Nd 144.24 Nd.upf
Ag 107.87 Ag.upf
Sc 44.96 Sc.upf
ATOMIC_POSITIONS angstrom
Nd -1.277 -2.995 9.002
Ag -0.640 -0.383 7.120
Ag -0.362 -0.217 4.027
Sc -0.953 -2.801 5.398
Ag 0.000 0.000 0.000
Nd -0.629 -2.607 1.795
CELL_PARAMETERS angstrom
-2.949 -2.036 -0.375
2.045 -2.967 0.024
-1.002 -0.600 11.147
! total magnetization: 0.0 μB/f.u.
! formation enthalpy at 0 K: -250 meV/atom

=====

(8)
! Nd2ScAg2, optimized geometry, DFT PBE-GGA; values from VASP
&SYSTEM
  ibrav = 0, nat = 5, ntyp = 3
/
ATOMIC_SPECIES
Ag 107.87 Ag.upf
Nd 144.24 Nd.upf
Sc 44.96 Sc.upf
ATOMIC_POSITIONS angstrom
Ag -5.233 0.785 3.696
Ag -5.523 2.875 1.701
Nd -3.062 0.854 1.339
Sc 0.000 0.000 0.000
Nd -7.693 2.807 4.058
CELL_PARAMETERS angstrom
-0.510 2.632 2.831
-5.471 3.024 -1.113
-4.774 -1.996 3.680
! total magnetization: 0.0 μB/f.u.
! formation enthalpy at 0 K: -132 meV/atom

=====

(9)
! NdSc5Ag6, optimized geometry, DFT PBE-GGA; values from VASP
&SYSTEM
  ibrav = 0, nat = 12, ntyp = 3
/
ATOMIC_SPECIES
Nd 144.24 Nd.upf
Ag 107.87 Ag.upf
Sc 44.96 Sc.upf
ATOMIC_POSITIONS angstrom
Nd 0.000 0.000 0.000
Ag 1.341 -4.034 3.855
Ag 2.734 0.457 4.976
Ag -1.497 -0.324 2.728
Sc 3.690 -2.364 4.198
Sc -0.607 -2.936 1.754
Sc 0.395 -1.357 4.744
Sc 0.961 1.575 2.969
Ag 1.917 -1.247 2.190
Ag 3.310 3.244 3.312
Sc 4.256 0.567 2.422
Ag 6.148 -0.466 4.439
CELL_PARAMETERS angstrom
-2.327 2.586 3.524
-1.213 -5.872 3.508
8.191 2.497 0.135
! total magnetization: 0.0 μB/f.u.
! formation enthalpy at 0 K: -248 meV/atom

=====

(10)
! NdSc2Ag, optimized geometry, DFT PBE-GGA; values from VASP
&SYSTEM
  ibrav = 0, nat = 4, ntyp = 3
/
ATOMIC_SPECIES
Nd 144.24 Nd.upf
Sc 44.96 Sc.upf
Ag 107.87 Ag.upf
ATOMIC_POSITIONS angstrom
Nd 0.000 0.000 0.000
Sc -4.192 -8.430 -0.473
Sc -1.398 -2.810 -0.157
Ag -2.795 -5.620 -0.315
CELL_PARAMETERS angstrom
-3.685 -2.723 -2.310
0.719 -4.988 -0.965
-2.624 -3.529 2.646
! total magnetization: 2.4 μB/f.u.
! formation enthalpy at 0 K: 95 meV/atom
! distance to the lowest polymorph of the same formula: 183 meV per atom

=====

(11)
! NdSc2Ag, optimized geometry, DFT PBE-GGA; values from VASP
&SYSTEM
  ibrav = 0, nat = 4, ntyp = 3
/
ATOMIC_SPECIES
Nd 144.24 Nd.upf
Sc 44.96 Sc.upf
Ag 107.87 Ag.upf
ATOMIC_POSITIONS angstrom
Nd 2.380 2.284 2.284
Sc 0.000 2.284 0.000
Ag 2.380 0.000 0.000
Sc 0.000 0.000 2.284
CELL_PARAMETERS angstrom
4.760 0.000 0.000
0.000 4.567 0.000
0.000 0.000 4.567
! total magnetization: 0.7 μB/f.u.
! formation enthalpy at 0 K: 23 meV/atom
! distance to the lowest polymorph of the same formula: 112 meV per atom

=====

(12)
! NdSc2Ag, optimized geometry, DFT PBE-GGA; values from VASP
&SYSTEM
  ibrav = 0, nat = 4, ntyp = 3
/
ATOMIC_SPECIES
Nd 144.24 Nd.upf
Sc 44.96 Sc.upf
Ag 107.87 Ag.upf
ATOMIC_POSITIONS angstrom
Nd 3.445 1.989 4.975
Sc 1.723 0.995 2.157
Ag 3.445 1.989 0.016
Sc 1.723 0.995 7.848
CELL_PARAMETERS angstrom
3.445 0.000 0.000
1.723 2.984 0.000
1.723 0.995 9.997
! total magnetization: 0.0 μB/f.u.
! formation enthalpy at 0 K: 55 meV/atom
! distance to the lowest polymorph of the same formula: 144 meV per atom

=====

Copy entry 11 word for word.
! NdSc2Ag, optimized geometry, DFT PBE-GGA; values from VASP
&SYSTEM
  ibrav = 0, nat = 4, ntyp = 3
/
ATOMIC_SPECIES
Nd 144.24 Nd.upf
Sc 44.96 Sc.upf
Ag 107.87 Ag.upf
ATOMIC_POSITIONS angstrom
Nd 2.380 2.284 2.284
Sc 0.000 2.284 0.000
Ag 2.380 0.000 0.000
Sc 0.000 0.000 2.284
CELL_PARAMETERS angstrom
4.760 0.000 0.000
0.000 4.567 0.000
0.000 0.000 4.567
! total magnetization: 0.7 μB/f.u.
! formation enthalpy at 0 K: 23 meV/atom
! distance to the lowest polymorph of the same formula: 112 meV per atom